# 1
VASP calculation (GGA-PBE) on Tb5TlS4 after structural relaxation.

a b c (Å): 13.416 3.955 10.064
angles (deg): 90.00 120.02 90.00
Space group C2/m (No. 12)
Asymmetric unit:
1 Tb 0.000 0.000 0.000 (multiplicity 2)
2 Tb 0.113 0.500 0.389 (multiplicity 4)
3 Tb 0.204 0.000 0.815 (multiplicity 4)
4 Tl 0.000 0.000 0.500 (multiplicity 2)
5 S 0.096 0.500 0.900 (multiplicity 4)
6 S 0.203 0.000 0.288 (multiplicity 4)

## Properties
E in eV per atom: -5.83
Magnetic moment in μB/atom: 0.000


# 2
VASP calculation (GGA-PBE) on HoInCu after structural relaxation.

a b c (Å): 7.4604 7.4604 3.9346
angles (deg): 90.00 90.00 120.00
Space group P-62m (No. 189)
Asymmetric unit:
1 Ho 0.0000 0.5896 0.0000 (multiplicity 3)
2 In 0.0000 0.2549 0.5000 (multiplicity 3)
3 Cu 0.0000 0.0000 0.0000 (multiplicity 1)
4 Cu 0.3333 0.6667 0.5000 (multiplicity 2)

## Properties
Formation energy in eV per formula unit: -1.3
Magnetic moment in μB/atom: 0.000


# 3
VASP calculation (GGA-PBE) on FeHBr3 after structural relaxation.

a b c (Å): 4.678 4.678 4.678
angles (deg): 90.00 90.00 90.00
Space group Pm-3m (No. 221)
Asymmetric unit:
1 Fe 0.000 0.000 0.000 (multiplicity 1)
2 H 0.500 0.500 0.500 (multiplicity 1)
3 Br 0.000 0.500 0.500 (multiplicity 3)

## Properties
E in eV per atom: -2.56
Magnetic moment in μB/atom: 0.830


# 4
VASP calculation (GGA-PBE) on In2AgCl after structural relaxation.

a b c (Å): 6.760 6.760 12.623
angles (deg): 90.00 90.00 90.00
Space group I-42d (No. 122)
Asymmetric unit:
1 In 0.223 0.250 0.125 (multiplicity 8)
2 Ag 0.000 0.000 0.000 (multiplicity 4)
3 Cl 0.000 0.000 0.500 (multiplicity 4)

## Properties
E in eV per atom: -2.66
Magnetic moment in μB/atom: 0.000


# 5
VASP calculation (GGA-PBE) on Li2MoW after structural relaxation.

a b c (Å): 3.613 3.613 4.736
angles (deg): 90.00 90.00 90.00
Space group P4/mmm (No. 123)
Asymmetric unit:
1 Li 0.000 0.500 0.000 (multiplicity 2)
2 Mo 0.000 0.000 0.500 (multiplicity 1)
3 W 0.500 0.500 0.500 (multiplicity 1)

## Properties
Formation energy in eV per formula unit: 2.1
Magnetic moment in μB/atom: 0.000


# 6
VASP calculation (GGA-PBE) on CaHoZn4 after structural relaxation.

a b c (Å): 7.761 7.761 7.761
angles (deg): 90.00 90.00 90.00
Space group F-43m (No. 216)
Asymmetric unit:
1 Ca 0.000 0.000 0.000 (multiplicity 4)
2 Ho 0.250 0.250 0.250 (multiplicity 4)
3 Zn 0.124 0.124 0.624 (multiplicity 16)

## Properties
Formation energy in eV per formula unit: -1.7
Magnetic moment in μB/atom: 0.000


# 7
VASP calculation (GGA-PBE) on Ga3OsF after structural relaxation.

a b c (Å): 4.269 4.269 4.269
angles (deg): 90.00 90.00 90.00
Space group Pm-3m (No. 221)
Asymmetric unit:
1 Ga 0.000 0.000 0.500 (multiplicity 3)
2 Os 0.500 0.500 0.500 (multiplicity 1)
3 F 0.000 0.000 0.000 (multiplicity 1)

## Properties
E in eV per atom: -4.24
Magnetic moment in μB/atom: 0.000


# 8
VASP calculation (GGA-PBE) on Rb2NaCoH6 after structural relaxation.

a b c (Å): 8.137 8.137 8.137
angles (deg): 90.00 90.00 90.00
Space group Fm-3m (No. 225)
Asymmetric unit:
1 Rb 0.250 0.250 0.250 (multiplicity 8)
2 Na 0.000 0.000 0.000 (multiplicity 4)
3 Co 0.000 0.000 0.500 (multiplicity 4)
4 H 0.000 0.000 0.305 (multiplicity 24)

## Properties
E in eV per atom: -3.23
Magnetic moment in μB/atom: 0.014


# 9
VASP calculation (GGA-PBE) on NdScTl2 after structural relaxation.

a b c (Å): 4.920 4.920 4.421
angles (deg): 90.00 90.00 90.00
Space group P4/mmm (No. 123)
Asymmetric unit:
1 Nd 0.000 0.000 0.000 (multiplicity 1)
2 Sc 0.500 0.500 0.000 (multiplicity 1)
3 Tl 0.000 0.500 0.500 (multiplicity 2)

## Properties
Formation energy in eV per formula unit: -1.2
Magnetic moment in μB/atom: 0.160


# 10
VASP calculation (GGA-PBE) on TeRhBr2N after structural relaxation.

a b c (Å): 5.479 5.479 3.665
angles (deg): 90.00 90.00 90.00
Space group P4/mmm (No. 123)
Asymmetric unit:
1 Te 0.000 0.000 0.000 (multiplicity 1)
2 Rh 0.500 0.500 0.500 (multiplicity 1)
3 Br 0.000 0.500 0.500 (multiplicity 2)
4 N 0.500 0.500 0.000 (multiplicity 1)

## Properties
E in eV per atom: -3.93
Magnetic moment in μB/atom: 0.000


# 11
VASP calculation (GGA-PBE) on BaY2Cl after structural relaxation.

a b c (Å): 3.7395 3.7395 31.4824
angles (deg): 90.00 90.00 120.00
Space group R-3m (No. 166, hexagonal axes)
Asymmetric unit:
1 Ba 0.0000 0.0000 0.0000 (multiplicity 3)
2 Y 0.0000 0.0000 0.2327 (multiplicity 6)
3 Cl 0.0000 0.0000 0.5000 (multiplicity 3)

## Properties
E in eV per atom: -4.66
Magnetic moment in μB/atom: 0.000


# 12
VASP calculation (GGA-PBE) on CrBiTe2 after structural relaxation.

a b c (Å): 3.8474 3.8474 28.0472
angles (deg): 90.00 90.00 120.00
Space group R-3m (No. 166, hexagonal axes)
Asymmetric unit:
1 Cr 0.0000 0.0000 0.0000 (multiplicity 3)
2 Bi 0.0000 0.0000 0.5000 (multiplicity 3)
3 Te 0.0000 0.0000 0.3880 (multiplicity 6)

## Properties
E in eV per atom: -5.05
Magnetic moment in μB/atom: 0.729